Ca2MgNi | PBE | relaxed

The space group is F-43m (No. 216) and the conventional cell measures 7.230, 7.230 and 7.230 Å, with angles of 90.00, 90.00 and 90.00 degrees. The asymmetric unit holds Ca at (0.000, 0.000, 0.000), Ca at (0.250, 0.250, 0.250), Mg at (0.250, 0.250, 0.750) and Ni at (0.000, 0.000, 0.500).

The calculation puts the formation energy at 169.3 meV/atom. Its electronic total energy is -0.19664 Ry/atom.